--- w ---
# Re3HgAs

A relaxed structure of Re3HgAs (PBE, Alexandria).

Computed properties:
D(E_F): 6.8 states/eV/f.u.
SG: Pm-3m (221)

```
Re3HgAs
1.0
4.9198 0.0000 0.0000
0.0000 4.9198 0.0000
0.0000 0.0000 4.9198
Re Hg As
3 1 1
Direct
0.0000 0.0000 0.5000
0.0000 0.5000 0.0000
0.5000 0.0000 0.0000
0.0000 0.0000 0.0000
0.5000 0.5000 0.5000
```

--- x ---
# Re3HgAs

A relaxed structure of Re3HgAs (PBE, Alexandria).

Computed properties:
D(E_F): 5.6 states/eV/f.u.
SG: Pm-3m (221)

```
Re3HgAs
1.0
4.5737 0.0000 0.0000
0.0000 4.5737 0.0000
0.0000 0.0000 4.5737
Re Hg As
3 1 1
Direct
0.0000 0.0000 0.5000
0.0000 0.5000 0.0000
0.5000 0.0000 0.0000
0.5000 0.5000 0.5000
0.0000 0.0000 0.0000
```

Name the least stable of them. w.

--- w ---
# Hg3AsRh

A relaxed structure of Hg3AsRh (PBE, Alexandria).

Computed properties:
D(E_F): 2.8 states/eV/f.u.
SG: Pm-3m (221)

```
Hg3AsRh
1.0
5.2412 0.0000 0.0000
0.0000 5.2412 0.0000
0.0000 0.0000 5.2412
Hg As Rh
3 1 1
Direct
0.0000 0.0000 0.5000
0.0000 0.5000 0.0000
0.5000 0.0000 0.0000
0.5000 0.5000 0.5000
0.0000 0.0000 0.0000
```

--- x ---
# Hg3AsRh

A relaxed structure of Hg3AsRh (PBE, Alexandria).

Computed properties:
D(E_F): 5.0 states/eV/f.u.
SG: Pm-3m (221)

```
Hg3AsRh
1.0
5.1933 0.0000 0.0000
0.0000 5.1933 0.0000
0.0000 0.0000 5.1933
Hg As Rh
3 1 1
Direct
0.0000 0.0000 0.5000
0.0000 0.5000 0.0000
0.5000 0.0000 0.0000
0.0000 0.0000 0.0000
0.5000 0.5000 0.5000
```

Name the least stable of them. x.

--- w ---
# HgAsRh3

A relaxed structure of HgAsRh3 (PBE, Alexandria).

Computed properties:
D(E_F): 6.5 states/eV/f.u.
SG: Pm-3m (221)

```
HgAsRh3
1.0
4.9268 0.0000 0.0000
0.0000 4.9268 0.0000
0.0000 0.0000 4.9268
Hg As Rh
1 1 3
Direct
0.0000 0.0000 0.0000
0.5000 0.5000 0.5000
0.0000 0.0000 0.5000
0.0000 0.5000 0.0000
0.5000 0.0000 0.0000
```

--- x ---
# HgAsRh3

A relaxed structure of HgAsRh3 (PBE, Alexandria).

Computed properties:
D(E_F): 0.9 states/eV/f.u.
SG: Pm-3m (221)

```
HgAsRh3
1.0
4.5569 0.0000 0.0000
0.0000 4.5569 0.0000
0.0000 0.0000 4.5569
Hg As Rh
1 1 3
Direct
0.0000 0.0000 0.0000
0.5000 0.5000 0.5000
0.0000 0.5000 0.5000
0.5000 0.0000 0.5000
0.5000 0.5000 0.0000
```

Name the least stable of them. w.